Entry 1:
Computed, not measured: LaCdH2 after structural relaxation at the PBE-GGA level of DFT.

Cell lengths 4.995, 4.995, 12.013 Å; angles 90.00, 90.00, 90.00 degrees
Fractional coordinates of all 16 atoms:
La: 0.000 0.000 0.000
La: 0.000 0.500 0.250
La: 0.500 0.000 0.750
La: 0.500 0.500 0.500
Cd: 0.000 0.000 0.500
Cd: 0.000 0.500 0.750
Cd: 0.500 0.000 0.250
Cd: 0.500 0.500 0.000
H: 0.217 0.250 0.125
H: 0.250 0.717 0.375
H: 0.250 0.783 0.875
H: 0.283 0.250 0.625
H: 0.717 0.750 0.625
H: 0.750 0.217 0.875
H: 0.750 0.283 0.375
H: 0.783 0.750 0.125

Output
- SG = I-42d
- relative energy among the computed polymorphs (meV/atom) = 56.9

=====

Entry 2:
Computed, not measured: Th3Ga4 after structural relaxation at the PBE-GGA level of DFT.

Cell lengths 4.160, 4.349, 18.921 Å; angles 90.00, 90.00, 90.00 degrees
Fractional coordinates of all 14 atoms:
Th: 0.000 0.000 0.000
Th: 0.000 0.500 0.312
Th: 0.000 0.500 0.688
Th: 0.500 0.000 0.188
Th: 0.500 0.000 0.812
Th: 0.500 0.500 0.500
Ga: 0.000 0.000 0.435
Ga: 0.000 0.000 0.565
Ga: 0.000 0.500 0.142
Ga: 0.000 0.500 0.858
Ga: 0.500 0.000 0.358
Ga: 0.500 0.000 0.642
Ga: 0.500 0.500 0.065
Ga: 0.500 0.500 0.935

Output
- SG = Immm
- DFT total energy (eV per atom) = -5.481

=====

Entry 3:
Computed, not measured: Ca2ThTl after structural relaxation at the PBE-GGA level of DFT.

Cell lengths 3.614, 3.614, 9.859 Å; angles 90.00, 90.00, 90.00 degrees
Fractional coordinates of all 4 atoms:
Ca: 0.000 0.000 0.218
Ca: 0.000 0.000 0.782
Th: 0.500 0.500 0.500
Tl: 0.500 0.500 0.000

Output
- SG = P4/mmm
- relative energy among the computed polymorphs (meV/atom) = 0.0

=====

Entry 4:
Computed, not measured: VCo3Ge3 after structural relaxation at the PBE-GGA level of DFT.

Cell lengths 6.992, 6.992, 4.395 Å; angles 90.00, 90.00, 120.00 degrees
Fractional coordinates of all 14 atoms:
V: 0.333 0.667 0.250
V: 0.667 0.333 0.750
Co: 0.104 0.636 0.750
Co: 0.364 0.468 0.750
Co: 0.468 0.104 0.250
Co: 0.532 0.896 0.750
Co: 0.636 0.532 0.250
Co: 0.896 0.364 0.250
Ge: 0.028 0.752 0.250
Ge: 0.248 0.276 0.250
Ge: 0.276 0.028 0.750
Ge: 0.724 0.972 0.250
Ge: 0.752 0.724 0.750
Ge: 0.972 0.248 0.750

Output
- SG = P6_3/m
- DFT total energy (eV per atom) = -6.304

=====

Looking at M_tot for the records above, in order, we have 0.00, 0.00, 0.00, 1.75 μB/cell.